An optimized crystal structure of FeSbIrO6, computed with PBE with a Hubbard U.

```
FeSbIrO6
1.0
5.211 0.000 0.000
-2.605 4.513 0.000
0.000 0.000 8.734
O Sb Ir Fe
12 2 2 2
direct
0.997 0.338 0.128 O
0.659 0.997 0.872 O
0.003 0.341 0.628 O
0.997 0.659 0.372 O
0.662 0.003 0.372 O
0.338 0.997 0.628 O
0.338 0.341 0.872 O
0.659 0.662 0.628 O
0.341 0.003 0.128 O
0.341 0.338 0.372 O
0.662 0.659 0.128 O
0.003 0.662 0.872 O
0.333 0.667 0.250 Sb
0.667 0.333 0.750 Sb
0.667 0.333 0.250 Ir
0.333 0.667 0.750 Ir
0.000 0.000 0.500 Fe
0.000 0.000 0.000 Fe
```

## Properties
Energy: -116.7 eV/cell
Crystal system: trigonal